# 1
The following is a DFT calculation (GGA-PBE) of a relaxed ThSb2P2Pd7 crystal.

Calculated values
- DFT total energy: -68.96 eV/cell
- Space-group type: C2/m (12)

Geometry as extended XYZ:
```
12
Lattice="4.521 -0.391 -0.260 -0.386 4.521 -0.260 1.192 1.191 11.280" Properties=species:S:1:pos:R:3 pbc="T T T"
Th 0.000 0.000 0.000
Sb 3.970 3.965 3.919
Sb 1.357 1.355 6.840
P 3.811 3.807 8.792
P 1.516 1.514 1.968
Pd 2.067 2.065 -0.260
Pd 1.943 1.940 4.305
Pd 3.384 3.380 6.454
Pd 3.878 1.900 2.104
Pd 1.905 3.875 2.104
Pd 3.422 1.445 8.655
Pd 1.449 3.421 8.655
```

# 2
The following is a DFT calculation (GGA-PBE) of a relaxed NdYMgGa crystal.

Calculated values
- Space-group type: F-43m (216)
- Formation energy: -0.353 eV per atom

Geometry as extended XYZ:
```
4
Lattice="5.256 0.000 0.000 2.628 4.552 0.000 2.628 1.517 4.292" Properties=species:S:1:pos:R:3 pbc="T T T"
Y 7.884 4.552 3.219
Mg 5.256 3.035 2.146
Nd 2.628 1.517 1.073
Ga 0.000 0.000 0.000
```

# 3
The following is a DFT calculation (GGA-PBE) of a relaxed CsZnAg2Sn crystal.

Calculated values
- Space-group type: P4/mmm (123)
- Formation energy: 1.200 eV per atom

Geometry as extended XYZ:
```
5
Lattice="-2.484 3.989 -3.753 -3.596 -4.286 -2.176 -4.126 1.347 4.163" Properties=species:S:1:pos:R:3 pbc="T T T"
Cs 0.000 0.000 0.000
Zn -1.798 -2.143 -1.088
Sn -5.103 0.525 -0.883
Ag -2.063 0.674 2.082
Ag -1.242 1.995 -1.876
```

# 4
The following is a DFT calculation (GGA-PBE) of a relaxed HoSbIr crystal.

Calculated values
- DFT total energy: -80.95 eV/cell
- Space-group type: Pnma (62)

Geometry as extended XYZ:
```
12
Lattice="-0.570 2.037 -3.971 -7.792 -1.438 0.382 -0.990 6.254 3.350" Properties=species:S:1:pos:R:3 pbc="T T T"
Sb -4.018 4.156 1.434
Sb -5.334 2.697 -1.674
Sb -8.342 5.360 0.125
Sb -1.010 1.493 -0.364
Ir -3.633 1.730 0.135
Ir -5.719 5.123 -0.374
Ir -7.735 1.533 -1.926
Ir -1.616 5.320 1.687
Ho -6.945 2.543 1.027
Ho -2.407 4.310 -1.267
Ho -3.808 7.270 0.453
Ho -5.544 -0.417 -0.692
```

# 5
The following is a DFT calculation (GGA-PBE) of a relaxed NdTmHgPb crystal.

Calculated values
- Distance to the lowest polymorph of the same formula: 12.9 meV per atom
- Space-group type: F-43m (216)
- Formation energy: -0.447 eV per atom

Geometry as extended XYZ:
```
4
Lattice="-3.829 3.753 -0.566 -4.542 -1.163 -2.661 -4.652 -0.468 2.684" Properties=species:S:1:pos:R:3 pbc="T T T"
Pb -9.768 1.591 -0.407
Tm -6.512 1.061 -0.272
Nd 0.000 0.000 0.000
Hg -3.256 0.530 -0.136
```

# 6
The following is a DFT calculation (GGA-PBE) of a relaxed LiCa2Si crystal.

Calculated values
- DFT total energy: -12.30 eV/cell
- Space-group type: R3m (160)

Geometry as extended XYZ:
```
4
Lattice="7.264 -0.014 -0.009 5.906 4.229 -0.009 5.906 1.890 3.783" Properties=species:S:1:pos:R:3 pbc="T T T"
Ca 0.748 0.239 0.148
Ca 4.017 1.286 0.793
Li 8.729 2.794 1.723
Si 15.122 4.839 2.985
```

# 7
The following is a DFT calculation (GGA-PBE) of a relaxed LiSm2Ga5Co2 crystal.

Calculated values
- Space-group type: P4/mbm (127)
- Formation energy: -0.435 eV per atom

Geometry as extended XYZ:
```
20
Lattice="-3.820 -0.505 -1.290 2.593 -7.689 -4.671 -1.860 -5.214 7.551" Properties=species:S:1:pos:R:3 pbc="T T T"
Li 0.000 0.000 0.000
Li 0.367 -6.452 1.440
Sm 1.430 -6.185 -1.813
Sm -0.696 -6.719 4.694
Sm -0.122 -3.056 1.559
Sm 0.856 -9.848 1.321
Ga -1.466 -2.242 -1.180
Ga -1.620 -11.166 2.771
Ga -3.205 -4.823 4.981
Ga -0.866 -8.039 -0.689
Ga 0.118 -8.586 -3.390
Ga -2.221 -5.370 2.280
Ga -1.782 -8.315 2.134
Ga -1.304 -5.094 -0.543
Ga -0.613 -4.097 -2.980
Ga -2.840 -2.860 3.131
Co -0.846 -4.076 4.104
Co 1.580 -8.828 -1.223
Co -0.056 -9.341 3.825
Co 0.790 -3.563 -0.944
```

# 8
The following is a DFT calculation (GGA-PBE) of a relaxed BaVOs2 crystal.

Calculated values
- Distance to the lowest polymorph of the same formula: 447.5 meV per atom
- Space-group type: Fm-3m (225)
- Formation energy: 1.277 eV per atom

Geometry as extended XYZ:
```
4
Lattice="-2.331 -3.740 -1.748 -2.484 -2.811 2.899 -4.738 0.024 -0.161" Properties=species:S:1:pos:R:3 pbc="T T T"
Os -2.388 -1.632 0.248
Os -7.165 -4.895 0.743
Ba -4.777 -3.263 0.495
V 0.000 0.000 0.000
```

# 9
The following is a DFT calculation (GGA-PBE) of a relaxed ThN2O3 crystal.

Calculated values
- DFT total energy: -96.98 eV/cell
- Space-group type: P-1 (2)

Geometry as extended XYZ:
```
12
Lattice="-6.574 7.223 8.985 2.227 -18.560 -7.882 3.381 0.030 -1.289" Properties=species:S:1:pos:R:3 pbc="T T T"
Th -3.487 -0.107 3.617
Th 2.521 -11.200 -3.803
N -2.021 -5.158 0.715
N 2.216 -15.330 -5.038
N -3.181 4.023 4.852
N 1.055 -6.148 -0.901
O 0.527 -12.063 -3.952
O -1.493 0.757 3.766
O -3.710 6.710 7.613
O 0.921 -9.314 -3.209
O -1.887 -1.992 3.023
O 2.744 -18.017 -7.799
```

# 10
The following is a DFT calculation (GGA-PBE) of a relaxed MgRu2Se crystal.

Calculated values
- Distance to the lowest polymorph of the same formula: 76.4 meV per atom
- Space-group type: Pmm2 (25)

Geometry as extended XYZ:
```
4
Lattice="2.964 0.000 0.000 0.000 3.763 0.000 0.000 0.000 5.743" Properties=species:S:1:pos:R:3 pbc="T T T"
Mg 1.482 1.882 4.417
Ru 0.000 0.000 0.122
Ru 1.482 1.882 1.488
Se 0.000 0.000 2.588
```

# 11
The following is a DFT calculation (GGA-PBE) of a relaxed LiPrSn4Pd2 crystal.

Calculated values
- Space-group type: R-3m (166)
- Formation energy: -0.528 eV per atom

Geometry as extended XYZ:
```
8
Lattice="-3.126 -1.263 3.143 0.313 -4.125 2.034 4.565 2.090 8.759" Properties=species:S:1:pos:R:3 pbc="T T T"
Li 0.876 -1.649 6.968
Pr 0.000 0.000 0.000
Sn 2.609 -0.425 9.183
Sn -0.737 -3.922 7.831
Sn 2.489 0.624 6.106
Sn -0.857 -2.873 4.754
Pd 1.190 -2.561 10.295
Pd 0.561 -0.737 3.642
```

# 12
The following is a DFT calculation (GGA-PBE) of a relaxed Pr3Zn2Ag3 crystal.

Calculated values
- Distance to the lowest polymorph of the same formula: 14.0 meV per atom
- Space-group type: Pnma (62)
- Formation energy: -0.267 eV per atom

Geometry as extended XYZ:
```
32
Lattice="5.738 0.000 0.000 0.000 8.300 0.000 0.000 0.000 16.338" Properties=species:S:1:pos:R:3 pbc="T T T"
Pr 0.741 3.779 6.431
Pr 3.610 0.371 9.907
Pr 4.997 4.521 14.600
Pr 2.128 7.929 1.738
Pr 4.997 4.521 9.907
Pr 2.128 7.929 6.431
Pr 0.741 3.779 1.738
Pr 3.610 0.371 14.600
Pr 3.618 2.672 4.085
Pr 0.749 1.479 12.254
Pr 2.120 5.629 12.254
Pr 4.989 6.822 4.085
Zn 4.999 0.903 6.400
Zn 2.130 3.248 9.938
Zn 0.739 7.398 14.570
Zn 3.608 5.053 1.769
Zn 0.739 7.398 9.938
Zn 3.608 5.053 6.400
Zn 4.999 0.903 1.769
Zn 2.130 3.248 14.570
Ag 0.733 1.416 4.085
Ag 3.602 2.734 12.254
Ag 5.005 6.884 12.254
Ag 2.136 5.566 4.085
Ag 3.443 2.646 7.593
Ag 0.574 1.504 8.745
Ag 2.295 5.654 15.762
Ag 5.163 6.796 0.576
Ag 2.295 5.654 8.745
Ag 5.163 6.796 7.593
Ag 3.443 2.646 0.576
Ag 0.574 1.504 15.762
```